1.
Here is LiCePmOs after structural relaxation from Alexandria. Energies are from GGA-PBE.

abc: 4.9993 4.9993 4.9993
angles: 60.00 60.00 60.00
Closest atoms and distances in Å follow each position.
Sites, in units of the cell vectors:
Pm: 0.7500 0.7500 0.7500  4 Li 3.06, 4 Os 3.06
Os: 0.5000 0.5000 0.5000  4 Ce 3.06, 4 Pm 3.06
Li: 0.0000 0.0000 0.0000  4 Ce 3.06, 4 Pm 3.06
Ce: 0.2500 0.2500 0.2500  4 Li 3.06, 4 Os 3.06

Results
* ΔE_f: -0.06 eV per atom

2.
Here is LiCePrOs after structural relaxation from Alexandria. Energies are from GGA-PBE.

abc: 5.0367 5.0367 5.0367
angles: 60.00 60.00 60.00
Closest atoms and distances in Å follow each position.
Sites, in units of the cell vectors:
Pr: 0.2500 0.2500 0.2500  4 Li 3.08, 4 Os 3.08
Li: 0.0000 0.0000 0.0000  4 Ce 3.08, 4 Pr 3.08
Os: 0.5000 0.5000 0.5000  4 Ce 3.08, 4 Pr 3.08
Ce: 0.7500 0.7500 0.7500  4 Li 3.08, 4 Os 3.08

Results
* ΔE_f: -0.02 eV per atom

3.
Here is LiCePuOs after structural relaxation from Alexandria. Energies are from GGA-PBE.

abc: 4.9037 4.9037 4.9037
angles: 60.00 60.00 60.00
Closest atoms and distances in Å follow each position.
Sites, in units of the cell vectors:
Li: 0.7500 0.7500 0.7500  4 Pu 3.00, 4 Ce 3.00
Ce: 0.0000 0.0000 0.0000  4 Li 3.00, 4 Os 3.00
Os: 0.2500 0.2500 0.2500  4 Ce 3.00, 4 Pu 3.00
Pu: 0.5000 0.5000 0.5000  4 Os 3.00, 4 Li 3.00

Results
* ΔE_f: -0.02 eV per atom

4.
Here is LiCeScOs after structural relaxation from Alexandria. Energies are from GGA-PBE.

abc: 4.7938 4.7938 4.7938
angles: 60.00 60.00 60.00
Closest atoms and distances in Å follow each position.
Sites, in units of the cell vectors:
Li: 0.0000 0.0000 0.0000  4 Sc 2.94, 4 Ce 2.94
Sc: 0.2500 0.2500 0.2500  4 Li 2.94, 4 Os 2.94
Os: 0.5000 0.5000 0.5000  4 Ce 2.94, 4 Sc 2.94
Ce: 0.7500 0.7500 0.7500  4 Os 2.94, 4 Li 2.94

Results
* ΔE_f: -0.18 eV per atom

5.
Here is LiCeSmOs after structural relaxation from Alexandria. Energies are from GGA-PBE.

abc: 4.9861 4.9861 4.9861
angles: 60.00 60.00 60.00
Closest atoms and distances in Å follow each position.
Sites, in units of the cell vectors:
Ce: 0.2500 0.2500 0.2500  4 Os 3.05, 4 Li 3.05
Li: 0.0000 0.0000 0.0000  4 Ce 3.05, 4 Sm 3.05
Sm: 0.7500 0.7500 0.7500  4 Li 3.05, 4 Os 3.05
Os: 0.5000 0.5000 0.5000  4 Sm 3.05, 4 Ce 3.05

Results
* ΔE_f: -0.08 eV per atom

6.
Here is LiCeUOs after structural relaxation from Alexandria. Energies are from GGA-PBE.

abc: 4.6779 4.6779 4.6779
angles: 60.00 60.00 60.00
Closest atoms and distances in Å follow each position.
Sites, in units of the cell vectors:
Li: 0.7500 0.7500 0.7500  4 Os 2.86, 4 Ce 2.86
Os: 0.0000 0.0000 0.0000  4 Li 2.86, 4 U 2.86
U: 0.2500 0.2500 0.2500  4 Os 2.86, 4 Ce 2.86
Ce: 0.5000 0.5000 0.5000  4 U 2.86, 4 Li 2.86

Results
* ΔE_f: 0.01 eV per atom

7.
Here is LiCeZnOs after structural relaxation from Alexandria. Energies are from GGA-PBE.

abc: 4.6451 4.6451 4.6451
angles: 60.00 60.00 60.00
Closest atoms and distances in Å follow each position.
Sites, in units of the cell vectors:
Ce: 0.0000 0.0000 0.0000  4 Li 2.84, 4 Os 2.84
Li: 0.2500 0.2500 0.2500  4 Ce 2.84, 4 Zn 2.84
Zn: 0.5000 0.5000 0.5000  4 Li 2.84, 4 Os 2.84
Os: 0.7500 0.7500 0.7500  4 Ce 2.84, 4 Zn 2.84

Results
* ΔE_f: -0.01 eV per atom

8.
Here is LiCeZrOs after structural relaxation from Alexandria. Energies are from GGA-PBE.

abc: 4.8116 4.8116 4.8116
angles: 60.00 60.00 60.00
Closest atoms and distances in Å follow each position.
Sites, in units of the cell vectors:
Ce: 0.7500 0.7500 0.7500  4 Li 2.95, 4 Os 2.95
Os: 0.5000 0.5000 0.5000  4 Ce 2.95, 4 Zr 2.95
Li: 0.0000 0.0000 0.0000  4 Zr 2.95, 4 Ce 2.95
Zr: 0.2500 0.2500 0.2500  4 Li 2.95, 4 Os 2.95

Results
* ΔE_f: -0.10 eV per atom

9.
Here is Li4CeP2 after structural relaxation from Alexandria. Energies are from GGA-PBE.

abc: 4.0588 7.5936 7.5936
angles: 90.00 90.00 90.00
Closest atoms and distances in Å follow each position.
Sites, in units of the cell vectors:
Li: 0.5000 0.1675 0.5946  3 P 2.51-2.53, 1 Li 2.55
Li: 0.0000 0.9054 0.6675  3 P 2.51-2.53, 1 Li 2.55
Li: 0.0000 0.6675 0.9054  3 P 2.51-2.53, 1 Li 2.55
P: 0.5000 0.7127 0.7127  6 Li 2.51-2.53
Li: 0.0000 0.0946 0.3325  3 P 2.51-2.53, 1 Li 2.55
Li: 0.5000 0.5946 0.1675  3 P 2.51-2.53, 1 Li 2.55
Li: 0.5000 0.8325 0.4054  3 P 2.51-2.53, 1 Li 2.55
Ce: 0.0000 0.5000 0.5000  6 P 3.06-3.08, 12 Li 3.32-3.33
Li: 0.5000 0.4054 0.8325  3 P 2.51-2.53, 1 Li 2.55
Li: 0.0000 0.3325 0.0946  3 P 2.51-2.53, 1 Li 2.55
P: 0.0000 0.2127 0.7873  6 Li 2.51-2.53
Ce: 0.5000 0.0000 0.0000  6 P 3.06-3.08, 12 Li 3.32-3.33
P: 0.5000 0.2873 0.2873  6 Li 2.51-2.53
P: 0.0000 0.7873 0.2127  6 Li 2.51-2.53

Results
* ΔE_f: -0.77 eV per atom

10.
Here is LiCeP2 after structural relaxation from Alexandria. Energies are from GGA-PBE.

abc: 4.3697 4.3697 5.2423
angles: 65.37 65.37 60.00
Closest atoms and distances in Å follow each position.
Sites, in units of the cell vectors:
Ce: 0.5000 0.5000 0.5000  6 P 2.83
P: 0.7405 0.7405 0.7784  3 Li 2.72, 3 Ce 2.83
P: 0.2595 0.2595 0.2216  3 Li 2.72, 3 Ce 2.83
Li: 0.0000 0.0000 0.0000  6 P 2.72

Results
* ΔE_f: -0.80 eV per atom

11.
Here is Li2CeP2 after structural relaxation from Alexandria. Energies are from GGA-PBE.

abc: 4.1085 4.1085 6.7345
angles: 72.24 72.24 60.00
Closest atoms and distances in Å follow each position.
Sites, in units of the cell vectors:
Li: 0.7998 0.2998 0.6005  3 P 2.55, 3 Li 2.69
P: 0.5833 0.0833 0.2500  3 Li 2.55, 3 Ce 2.85
P: 0.4167 0.9167 0.7500  3 Li 2.55, 3 Ce 2.85
Ce: 0.0000 0.5000 0.0000  6 P 2.85
Li: 0.2002 0.7002 0.3995  3 P 2.55, 3 Li 2.69

Results
* ΔE_f: -0.92 eV per atom

12.
Here is LiCeP2 after structural relaxation from Alexandria. Energies are from GGA-PBE.

abc: 4.0780 4.0780 6.1351
angles: 70.59 70.59 60.00
Closest atoms and distances in Å follow each position.
Sites, in units of the cell vectors:
Li: 0.4895 0.4895 0.5316  6 P 2.53-2.73
P: 0.1018 0.1018 0.6945  1 P 2.30, 3 Li 2.53
Ce: 0.6714 0.6714 0.9859  6 P 2.88-2.91, 1 Li 3.09
P: 0.2373 0.2373 0.2881  1 P 2.30

Results
* ΔE_f: -0.85 eV per atom

13.
Here is Li2CeP2 after structural relaxation from Alexandria. Energies are from GGA-PBE.

abc: 4.1546 4.1546 6.6373
angles: 90.00 90.00 120.00
Closest atoms and distances in Å follow each position.
Sites, in units of the cell vectors:
Ce: 0.0000 0.0000 0.0000  6 P 2.85
Li: 0.3333 0.6667 0.6225  4 P 2.59-2.60, 3 Li 2.90
Li: 0.6667 0.3333 0.3775  4 P 2.59-2.60, 3 Li 2.90
P: 0.6667 0.3333 0.7690  4 Li 2.59-2.60, 3 Ce 2.85
P: 0.3333 0.6667 0.2310  4 Li 2.59-2.60, 3 Ce 2.85

Results
* ΔE_f: -1.00 eV per atom

14.
Here is LiCe4Pa3P8 after structural relaxation from Alexandria. Energies are from GGA-PBE.

abc: 8.0335 8.0533 8.0338
angles: 119.92 120.00 90.00
Closest atoms and distances in Å follow each position.
Sites, in units of the cell vectors:
Pa: 0.5000 0.5000 0.5000  6 P 2.79-2.81
Pa: 0.0000 0.5000 0.5000  6 P 2.79-2.81
P: 0.7469 0.7407 0.4938  3 Pa 2.81, 3 Ce 2.88
P: 0.2481 0.7391 0.4962  2 Pa 2.79, 1 Li 2.82, 3 Ce 2.87-2.90
P: 0.2531 0.2593 0.5062  3 Pa 2.81, 3 Ce 2.88
P: 0.2571 0.2609 0.0090  2 Pa 2.79, 1 Li 2.82, 3 Ce 2.87-2.90
Ce: 0.5000 0.0000 0.5000  6 P 2.88-2.90
P: 0.7519 0.2609 0.0090  2 Pa 2.79, 1 Li 2.82, 3 Ce 2.87-2.90
Ce: 0.5000 0.0000 0.0000  6 P 2.87
P: 0.7429 0.7391 0.9910  2 Pa 2.79, 1 Li 2.82, 3 Ce 2.87-2.90
Ce: 0.0000 0.0000 0.0000  6 P 2.88-2.90
P: 0.2481 0.7391 0.9910  2 Pa 2.79, 1 Li 2.82, 3 Ce 2.87-2.90
Li: 0.0000 0.5000 0.0000  6 P 2.82
Ce: 0.0000 0.0000 0.5000  6 P 2.88-2.90
P: 0.7519 0.2609 0.5038  2 Pa 2.79, 1 Li 2.82, 3 Ce 2.87-2.90
Pa: 0.5000 0.5000 0.0000  6 P 2.79-2.81

Results
* ΔE_f: -1.28 eV per atom

15.
Here is LiCe3Pa2P6 after structural relaxation from Alexandria. Energies are from GGA-PBE.

abc: 6.9575 6.9575 6.9875
angles: 99.55 99.55 119.93
Closest atoms and distances in Å follow each position.
Sites, in units of the cell vectors:
Pa: 0.6671 0.3329 0.0000  6 P 2.79
P: 0.2596 0.2596 0.7607  2 Pa 2.79, 1 Li 2.84, 3 Ce 2.85-2.88
Ce: 0.1638 0.8362 0.5000  6 P 2.87-2.90
P: 0.9197 0.5802 0.7601  2 Pa 2.79, 1 Li 2.84, 3 Ce 2.87-2.90
P: 0.7404 0.7404 0.2393  2 Pa 2.79, 1 Li 2.84, 3 Ce 2.85-2.88
Ce: 0.8362 0.1638 0.5000  6 P 2.87-2.90
Pa: 0.3329 0.6671 0.0000  6 P 2.79
Li: 0.0000 0.0000 0.0000  6 P 2.84
P: 0.4198 0.0803 0.2399  2 Pa 2.79, 1 Li 2.84, 3 Ce 2.87-2.90
P: 0.5802 0.9197 0.7601  2 Pa 2.79, 1 Li 2.84, 3 Ce 2.87-2.90
Ce: 0.5000 0.5000 0.5000  6 P 2.85-2.90
P: 0.0803 0.4198 0.2399  2 Pa 2.79, 1 Li 2.84, 3 Ce 2.87-2.90

Results
* ΔE_f: -1.23 eV per atom

16.
Here is LiCePa2P4 after structural relaxation from Alexandria. Energies are from GGA-PBE.

abc: 4.0261 6.9085 6.8926
angles: 109.66 90.00 90.00
Closest atoms and distances in Å follow each position.
Sites, in units of the cell vectors:
Pa: 0.5000 0.0000 0.5000  6 P 2.78-2.81
Ce: 0.0000 0.0000 0.0000  6 P 2.87-2.88
P: 0.5000 0.2564 0.2585  3 Pa 2.79-2.81, 1 Li 2.83, 2 Ce 2.87
P: 0.0000 0.2467 0.7367  3 Pa 2.77-2.78, 2 Li 2.88, 1 Ce 2.88
P: 0.5000 0.7436 0.7415  3 Pa 2.79-2.81, 1 Li 2.83, 2 Ce 2.87
Pa: 0.0000 0.5000 0.5000  6 P 2.77-2.79
P: 0.0000 0.7533 0.2633  3 Pa 2.77-2.78, 2 Li 2.88, 1 Ce 2.88
Li: 0.5000 0.5000 0.0000  6 P 2.83-2.88

Results
* ΔE_f: -1.11 eV per atom

17.
Here is LiCe2P3Pd4 after structural relaxation from Alexandria. Energies are from GGA-PBE.

abc: 4.1517 4.1517 10.0304
angles: 90.00 90.00 90.00
Closest atoms and distances in Å follow each position.
Sites, in units of the cell vectors:
P: 0.0000 0.5000 0.1403  5 Pd 2.36-2.51
Pd: 0.0000 0.0000 0.0000  4 P 2.51
P: 0.0000 0.0000 0.5000  4 Pd 2.42
Ce: 0.5000 0.0000 0.2445  6 P 3.12-3.30, 8 Pd 3.21-3.22, 2 Li 3.30
Pd: 0.0000 0.5000 0.3760  3 P 2.36-2.42, 2 Li 2.42
P: 0.5000 0.0000 0.8597  5 Pd 2.36-2.51
Li: 0.5000 0.5000 0.5000  4 Pd 2.42
Ce: 0.0000 0.5000 0.7555  6 P 3.12-3.30, 8 Pd 3.21-3.22, 2 Li 3.30
Pd: 0.5000 0.5000 0.0000  4 P 2.51
Pd: 0.5000 0.0000 0.6240  3 P 2.36-2.42, 2 Li 2.42

Results
* ΔE_f: -0.94 eV per atom

18.
Here is LiCe2P3Pt12 after structural relaxation from Alexandria. Energies are from GGA-PBE.

abc: 7.5636 7.5636 7.5636
angles: 65.51 65.51 65.51
Closest atoms and distances in Å follow each position.
Sites, in units of the cell vectors:
Pt: 0.3497 0.8939 0.3497  2 P 2.33
Ce: 0.6192 0.6192 0.6192  6 Pt 2.80-3.01
P: 0.0000 0.0000 0.5000  6 Pt 2.30-2.33
Pt: 0.6503 0.6503 0.1061  2 P 2.33
Pt: 0.3497 0.3497 0.8939  2 P 2.33
Pt: 0.8708 0.3695 0.8708  1 P 2.30, 1 Li 2.45
Pt: 0.1292 0.1292 0.6305  1 P 2.30, 1 Li 2.45
Pt: 0.8939 0.3497 0.3497  2 P 2.33
Pt: 0.1292 0.6305 0.1292  1 P 2.30, 1 Li 2.45
Pt: 0.8708 0.8708 0.3695  1 P 2.30, 1 Li 2.45
Pt: 0.6503 0.1061 0.6503  2 P 2.33
Pt: 0.6305 0.1292 0.1292  1 P 2.30, 1 Li 2.45
P: 0.0000 0.5000 0.0000  6 Pt 2.30-2.33
P: 0.5000 0.0000 0.0000  6 Pt 2.30-2.33
Pt: 0.3695 0.8708 0.8708  1 P 2.30, 1 Li 2.45
Ce: 0.3808 0.3808 0.3808  6 Pt 2.80-3.01
Pt: 0.1061 0.6503 0.6503  2 P 2.33
Li: 0.0000 0.0000 0.0000  6 Pt 2.45

Results
* ΔE_f: -0.49 eV per atom

19.
Here is LiCe2P3Pt4 after structural relaxation from Alexandria. Energies are from GGA-PBE.

abc: 4.1980 4.1980 9.8559
angles: 90.00 90.00 90.00
Closest atoms and distances in Å follow each position.
Sites, in units of the cell vectors:
Pt: 0.0000 0.5000 0.3752  3 P 2.35-2.43, 2 Li 2.43
Li: 0.5000 0.5000 0.5000  4 Pt 2.43
Ce: 0.5000 0.0000 0.2490  6 P 3.17-3.24, 8 Pt 3.22-3.23, 2 Li 3.24
P: 0.0000 0.5000 0.1364  5 Pt 2.35-2.49
P: 0.0000 0.0000 0.5000  4 Pt 2.43
Pt: 0.5000 0.0000 0.6248  3 P 2.35-2.43, 2 Li 2.43
Pt: 0.5000 0.5000 0.0000  4 P 2.49
P: 0.5000 0.0000 0.8636  5 Pt 2.35-2.49
Pt: 0.0000 0.0000 0.0000  4 P 2.49
Ce: 0.0000 0.5000 0.7510  6 P 3.17-3.24, 8 Pt 3.22-3.23, 2 Li 3.24

Results
* ΔE_f: -0.99 eV per atom

20.
Here is LiCeP2Rh5 after structural relaxation from Alexandria. Energies are from GGA-PBE.

abc: 4.0779 4.0779 9.2413
angles: 90.00 90.00 90.00
Closest atoms and distances in Å follow each position.
Sites, in units of the cell vectors:
Li: 0.0000 0.0000 0.0000  8 Rh 2.48
Rh: 0.5000 0.0000 0.8480  2 P 2.25, 2 Li 2.48
Rh: 0.0000 0.5000 0.8480  2 P 2.25, 2 Li 2.48
Rh: 0.0000 0.5000 0.1520  2 P 2.25, 2 Li 2.48
Rh: 0.5000 0.0000 0.1520  2 P 2.25, 2 Li 2.48
P: 0.5000 0.5000 0.2557  5 Rh 2.25-2.26
Ce: 0.0000 0.0000 0.5000  4 Rh 2.88
P: 0.5000 0.5000 0.7443  5 Rh 2.25-2.26
Rh: 0.5000 0.5000 0.5000  2 P 2.26

Results
* ΔE_f: -0.54 eV per atom